Record 1
LaNdCF | Alexandria | GGA-PBE | optimized geometry; Fermi-level density of states = 0.56 states/eV/atom; theoretical density = 5.88 g/cm3; uncorrected formation energy = -4.8 eV/f.u.; total magnetization = 0.7 μB per formula unit
1.0
5.2979 0.0000 0.0000
0.0000 2.1811 3.8396
0.0000 -2.1811 3.8396
La Nd C F
1 1 1 1
Cartesian
0.0000 0.0000 0.0000
2.6490 0.0000 5.1533
2.6490 0.0000 0.0209
0.0000 0.0000 5.1480


Record 2
NiSbP | Alexandria | GGA-PBE | optimized geometry; Fermi-level density of states = 0.91 states/eV/atom; theoretical density = 6.72 g/cm3; distance to the lowest polymorph of the same formula = 768.3 meV/atom; uncorrected formation energy = 1.6 eV/f.u.; total magnetization = 0.0 μB per formula unit
1.0
4.6600 0.0000 0.0000
-2.3300 4.0357 0.0000
0.0000 0.0000 5.5546
Ni Sb P
2 2 2
Cartesian
0.0000 0.0000 0.0000
0.0000 0.0000 2.7773
0.0000 2.6905 1.3886
2.3300 1.3452 4.1659
0.0000 2.6905 4.1659
2.3300 1.3452 1.3886


Record 3
Ca2YNi2 | Alexandria | GGA-PBE | optimized geometry; Fermi-level density of states = 0.92 states/eV/atom; theoretical density = 4.08 g/cm3; distance to the lowest polymorph of the same formula = 178.9 meV/atom; total magnetization = 0.0 μB per formula unit
1.0
-2.1676 2.1676 6.2049
2.1676 -2.1676 6.2049
2.1676 2.1676 -6.2049
Ca Y Ni
2 1 2
Cartesian
2.1676 0.0000 3.1025
0.0000 2.1676 3.1025
0.0000 0.0000 0.0000
0.0000 0.0000 5.0753
0.0000 0.0000 7.3346


Record 4
DyCd11Rh | Alexandria | GGA-PBE | optimized geometry; energy = -23.43 eV per cell; Fermi-level density of states = 0.44 states/eV/atom; theoretical density = 8.79 g/cm3; total magnetization = 0.0 μB per formula unit
1.0
2.8403 -7.1421 0.0000
2.8403 7.1421 0.0000
-2.7784 0.0000 6.9945
Dy Cd Rh
1 11 1
Cartesian
0.0000 0.0000 0.0000
1.4202 3.5710 0.0000
0.1291 4.7466 4.4997
-0.0094 1.4647 5.5063
2.7732 4.7466 2.4947
-0.0094 -1.4647 5.5063
1.4202 -3.5710 0.0000
1.4511 0.0000 3.4972
2.9116 1.4647 1.4882
0.1291 -4.7466 4.4997
2.9116 -1.4647 1.4882
2.7732 -4.7466 2.4947
-1.3892 0.0000 3.4972


Record 5
Tb8Sm2Hg | Alexandria | GGA-PBE | optimized geometry; Fermi-level density of states = 1.65 states/eV/atom; theoretical density = 8.27 g/cm3; distance to the lowest polymorph of the same formula = 40.7 meV/atom; total magnetization = 0.0 μB per formula unit
1.0
9.4088 -2.7485 0.0000
9.4088 2.7485 0.0000
-2.9814 0.0000 6.8804
Tb Sm Hg
8 2 1
Cartesian
-0.7325 0.0000 1.6943
16.5688 0.0000 5.1861
1.4129 0.0000 4.7049
4.9981 0.0000 4.3328
6.5827 0.0000 0.6924
9.2535 0.0000 6.1880
10.8381 0.0000 2.5477
14.4234 0.0000 2.1756
3.0428 0.0000 1.3211
12.7935 0.0000 5.5593
7.9181 0.0000 3.4402


Record 6
Er3Ag2Hg7 | Alexandria | GGA-PBE | optimized geometry; energy = -23.95 eV per cell; Fermi-level density of states = 0.57 states/eV/atom; theoretical density = 12.10 g/cm3; total magnetization = 0.0 μB per formula unit
1.0
4.9880 0.0000 0.0000
0.0000 3.4750 0.0000
-2.0478 0.0000 16.7977
Er Ag Hg
3 2 7
Cartesian
0.0000 0.0000 0.0000
0.2303 1.7375 10.4641
2.7099 1.7375 6.3336
0.1844 0.0000 4.9222
2.7558 0.0000 11.8755
0.1717 1.7375 2.4816
0.2229 0.0000 7.6609
0.2718 0.0000 13.2510
2.4940 1.7375 0.0000
2.6684 0.0000 3.5467
2.7172 0.0000 9.1368
2.7685 1.7375 14.3161